{
  "formula": "PmNpV2O8",
  "functional": "GGA+U",
  "state": "optimized geometry",
  "lattice": [[-3.8273, -3.3235, -0.9912], [1.2869, 0.0098, -5.0020], [4.8342, -2.7183, 3.9049]],
  "species": ["Pm", "Np", "V", "V", "O", "O", "O", "O", "O", "O", "O", "O"],
  "fractional_positions": [[0.7500, 0.2500, 0.5000], [0.0000, 0.0000, 0.0000], [0.5000, 0.5000, 0.0000], [0.2500, 0.7500, 0.5000], [0.7402, 0.8432, 0.1485], [0.4084, 0.3053, 0.1485], [0.5787, 0.6789, 0.6620], [0.0833, 0.9830, 0.6620], [0.0170, 0.4213, 0.3380], [0.3211, 0.9167, 0.3380], [0.1568, 0.5916, 0.8515], [0.6947, 0.2598, 0.8515]],
  "volume_a3_per_atom": 12.71,
  "dos_at_fermi_per_ev_cell": 7.57,
  "total_energy_ry_per_atom": -0.6293,
  "space_group": "I-4"
}